CeTi4Se8: optimized geometry, PBE.

Properties
Space-group type: F-43m
Mass density: 4.9 g cm⁻³
Energy above the lowest structure with this stoichiometry: 1.880 eV per formula unit
Formation energy without anion corrections: -1142 meV/atom
Crystal system: cubic

a b c (Å): 7.7207 7.7207 7.7207
angles (deg): 60.00 60.00 60.00
Element x y z (fractional)
Ce: 0.7500 0.7500 0.7500
Ti: 0.9231 0.3590 0.3590
Ti: 0.3590 0.9230 0.3590
Ti: 0.3590 0.3590 0.9230
Ti: 0.3590 0.3590 0.3590
Se: 0.6207 0.1264 0.1264
Se: 0.1264 0.6207 0.1264
Se: 0.1264 0.1264 0.6207
Se: 0.1264 0.1264 0.1264
Se: 0.1843 0.6052 0.6052
Se: 0.6052 0.1843 0.6052
Se: 0.6052 0.6052 0.1843
Se: 0.6052 0.6052 0.6052



CeTi2Se4: optimized geometry, PBE.

Properties
Space-group type: Cmcm
Mass density: 5.9 g cm⁻³
Formation energy without anion corrections: -1302 meV/atom
Crystal system: orthorhombic

a b c (Å): 3.9597 6.4046 12.8192
angles (deg): 90.00 90.00 108.01
Element x y z (fractional)
Ce: 0.6243 0.2486 0.7500
Ce: 0.3757 0.7514 0.2500
Ti: 0.1162 0.2324 0.4418
Ti: 0.8838 0.7676 0.9418
Ti: 0.1162 0.2324 0.0582
Ti: 0.8838 0.7676 0.5582
Se: 0.7636 0.5271 0.1107
Se: 0.7636 0.5271 0.3893
Se: 0.2364 0.4729 0.8893
Se: 0.2364 0.4729 0.6107
Se: 0.9440 0.8880 0.7500
Se: 0.0560 0.1120 0.2500
Se: 0.5000 0.0000 0.0000
Se: 0.5000 0.0000 0.5000



Ce2TiSe4: optimized geometry, PBE.

Properties
Space-group type: P2_1/m
Mass density: 5.9 g cm⁻³
Formation energy without anion corrections: -1483 meV/atom
Crystal system: monoclinic

a b c (Å): 7.0146 6.6394 8.1213
angles (deg): 90.00 106.87 90.00
Element x y z (fractional)
Ce: 0.7243 0.7500 0.0556
Ce: 0.2757 0.2500 0.9444
Ce: 0.2601 0.2500 0.4378
Ce: 0.7399 0.7500 0.5622
Ti: 0.2517 0.7500 0.1906
Ti: 0.7483 0.2500 0.8094
Se: 0.5153 0.4908 0.2567
Se: 0.0584 0.7500 0.8893
Se: 0.9416 0.2500 0.1107
Se: 0.5153 0.0092 0.2567
Se: 0.9437 0.2500 0.6079
Se: 0.4847 0.9908 0.7433
Se: 0.4847 0.5092 0.7433
Se: 0.0563 0.7500 0.3921



CeTi4Se8: optimized geometry, PBE.

Properties
Space-group type: R-3m
Mass density: 5.1 g cm⁻³
Energy above the lowest structure with this stoichiometry: 0.000 eV per formula unit
Formation energy without anion corrections: -1287 meV/atom
Crystal system: trigonal

a b c (Å): 7.2593 7.2593 8.0084
angles (deg): 63.05 63.05 60.00
Element x y z (fractional)
Ce: 0.5000 0.5000 0.5000
Ti: 0.0000 0.5000 0.0000
Ti: 0.5000 0.5000 0.0000
Ti: 0.5000 0.0000 0.0000
Ti: 0.0000 0.0000 0.0000
Se: 0.7523 0.2370 0.7738
Se: 0.7630 0.2477 0.2262
Se: 0.2477 0.7630 0.2262
Se: 0.7630 0.7630 0.2262
Se: 0.7397 0.7397 0.7808
Se: 0.2603 0.2603 0.2192
Se: 0.2370 0.2370 0.7738
Se: 0.2370 0.7523 0.7738



Ce2TiTl3Se6: optimized geometry, PBE.

Properties
Space-group type: C2/m
Mass density: 6.8 g cm⁻³
Formation energy without anion corrections: -1136 meV/atom
Crystal system: monoclinic

a b c (Å): 7.1589 7.1589 8.1555
angles (deg): 98.44 98.44 119.92
Element x y z (fractional)
Ce: 0.3344 0.6656 0.0000
Ce: 0.6656 0.3344 0.0000
Ti: 0.0000 0.0000 0.0000
Tl: 0.1721 0.8279 0.5000
Tl: 0.8279 0.1721 0.5000
Tl: 0.5000 0.5000 0.5000
Se: 0.9334 0.6253 0.7999
Se: 0.7602 0.7602 0.2078
Se: 0.0666 0.3747 0.2001
Se: 0.6253 0.9334 0.7999
Se: 0.2398 0.2398 0.7922
Se: 0.3747 0.0666 0.2001



Ce2Tl2Se5: optimized geometry, PBE.

Properties
Space-group type: Cmce
Mass density: 6.9 g cm⁻³
Formation energy without anion corrections: -1215 meV/atom
Crystal system: orthorhombic

a b c (Å): 8.0289 8.0185 9.0286
angles (deg): 116.36 90.00 90.00
Element x y z (fractional)
Ce: 0.6619 0.8380 0.0000
Ce: 0.3381 0.1620 0.0000
Ce: 0.1619 0.6620 0.0000
Ce: 0.8381 0.3380 0.0000
Tl: 0.0000 0.2009 0.4019
Tl: 0.5000 0.7009 0.4019
Tl: 0.0000 0.7991 0.5981
Tl: 0.5000 0.2991 0.5981
Se: 0.0000 0.0000 0.0000
Se: 0.5000 0.5000 0.0000
Se: 0.8547 0.7599 0.2282
Se: 0.1453 0.4683 0.2282
Se: 0.3547 0.9683 0.2282
Se: 0.6453 0.2599 0.2282
Se: 0.1453 0.2401 0.7718
Se: 0.8547 0.5317 0.7718
Se: 0.6453 0.0317 0.7718
Se: 0.3547 0.7401 0.7718



CeTlSe3: optimized geometry, PBE.

Properties
Space-group type: C2/m
Mass density: 6.1 g cm⁻³
Energy above the lowest structure with this stoichiometry: 0.180 eV per formula unit
Formation energy without anion corrections: -1069 meV/atom
Crystal system: monoclinic

a b c (Å): 4.3237 9.1703 9.7005
angles (deg): 120.81 90.00 103.64
Element x y z (fractional)
Ce: 0.8280 0.6561 0.2278
Ce: 0.1720 0.3439 0.7722
Tl: 0.6140 0.2280 0.2888
Tl: 0.3860 0.7720 0.7112
Se: 0.0242 0.0484 0.4061
Se: 0.9758 0.9516 0.5939
Se: 0.3508 0.7016 0.0549
Se: 0.6492 0.2984 0.9451
Se: 0.2639 0.5279 0.3364
Se: 0.7361 0.4721 0.6636



CeTl4Se5: optimized geometry, PBE.

Properties
Space-group type: I4/m
Mass density: 7.4 g cm⁻³
Formation energy without anion corrections: -699 meV/atom
Crystal system: tetragonal

a b c (Å): 5.8884 7.7770 7.7770
angles (deg): 81.76 67.75 67.75
Element x y z (fractional)
Ce: 0.0013 0.0000 0.0000
Tl: 0.3962 0.4064 0.8033
Tl: 0.8026 0.8033 0.5936
Tl: 0.1994 0.1967 0.4064
Tl: 0.6058 0.5936 0.1967
Se: 0.9102 0.3618 0.8196
Se: 0.2720 0.8196 0.6382
Se: 0.7299 0.1804 0.3618
Se: 0.0917 0.6382 0.1804
Se: 0.5012 0.0000 0.0000



CeTlSe: optimized geometry, PBE.

Properties
Space-group type: R-3m
Mass density: 8.2 g cm⁻³
Formation energy without anion corrections: -788 meV/atom
Crystal system: trigonal

a b c (Å): 5.3065 5.3065 7.6757
angles (deg): 69.78 69.78 60.00
Element x y z (fractional)
Ce: 0.0000 0.0000 0.0000
Ce: 0.5000 0.5000 0.5000
Se: 0.3662 0.3662 0.9015
Se: 0.6338 0.6338 0.0985
Tl: 0.2054 0.2054 0.3837
Tl: 0.7946 0.7946 0.6163



Ce6TlSe5: optimized geometry, PBE.

Properties
Space-group type: C2/m
Mass density: 7.3 g cm⁻³
Formation energy without anion corrections: -1510 meV/atom
Crystal system: monoclinic

a b c (Å): 7.3788 7.3802 7.3753
angles (deg): 59.98 80.42 70.57
Element x y z (fractional)
Tl: 0.0000 0.0000 0.0000
Se: 0.5000 0.1615 0.6769
Se: 0.0000 0.3327 0.3346
Se: 0.5000 0.5000 0.0000
Se: 0.0000 0.6673 0.6654
Se: 0.5000 0.8385 0.3231
Ce: 0.7418 0.0861 0.3457
Ce: 0.2582 0.5681 0.3457
Ce: 0.2549 0.2609 0.0000
Ce: 0.7451 0.7391 0.0000
Ce: 0.7418 0.4319 0.6543
Ce: 0.2582 0.9139 0.6543



Ce2TlSe3: optimized geometry, PBE.

Properties
Space-group type: P6_3/mmc
Mass density: 6.8 g cm⁻³
Formation energy without anion corrections: -1475 meV/atom
Crystal system: hexagonal

a b c (Å): 4.2343 4.2343 22.7265
angles (deg): 90.00 90.00 120.00
Element x y z (fractional)
Ce: 0.3333 0.6667 0.9238
Ce: 0.6667 0.3333 0.0762
Ce: 0.6667 0.3333 0.4238
Ce: 0.3333 0.6667 0.5762
Tl: 0.0000 0.0000 0.2500
Tl: 0.0000 0.0000 0.7500
Se: 0.0000 0.0000 0.0000
Se: 0.3333 0.6667 0.1492
Se: 0.3333 0.6667 0.3508
Se: 0.0000 0.0000 0.5000
Se: 0.6667 0.3333 0.6492
Se: 0.6667 0.3333 0.8508



Ce3Tl4Se8: optimized geometry, PBE.

Properties
Space-group type: R-3m
Mass density: 5.9 g cm⁻³
Formation energy without anion corrections: -1112 meV/atom
Crystal system: trigonal

a b c (Å): 8.6852 8.6852 9.4833
angles (deg): 62.75 62.75 60.00
Element x y z (fractional)
Ce: 0.5000 0.0000 0.5000
Ce: 0.0000 0.0000 0.5000
Ce: 0.0000 0.5000 0.5000
Tl: 0.0000 0.0000 0.0000
Tl: 0.3608 0.3608 0.9177
Tl: 0.5000 0.5000 0.5000
Tl: 0.6392 0.6392 0.0823
Se: 0.2277 0.2277 0.3168
Se: 0.2019 0.7483 0.3016
Se: 0.7483 0.7483 0.3016
Se: 0.7483 0.2019 0.3016
Se: 0.7723 0.7723 0.6832
Se: 0.7981 0.2517 0.6984
Se: 0.2517 0.2517 0.6984
Se: 0.2517 0.7981 0.6984



Ce4TlSe8: optimized geometry, PBE.

Properties
Space-group type: C2/m
Mass density: 4.7 g cm⁻³
Formation energy without anion corrections: -1504 meV/atom
Crystal system: monoclinic

a b c (Å): 8.5796 8.5796 8.8087
angles (deg): 103.45 104.80 119.93
Element x y z (fractional)
Ce: 0.2474 0.2474 0.0000
Ce: 0.7526 0.7526 0.0000
Ce: 0.2633 0.7650 0.0282
Ce: 0.7367 0.2350 0.9718
Tl: 0.0000 0.5000 0.5000
Se: 0.6948 0.0263 0.1942
Se: 0.1679 0.4994 0.1942
Se: 0.6810 0.5015 0.1825
Se: 0.1812 0.0208 0.2021
Se: 0.8188 0.9792 0.7979
Se: 0.3190 0.4985 0.8175
Se: 0.8321 0.5006 0.8058
Se: 0.3052 0.9737 0.8058



CeTl2Se4: optimized geometry, PBE.

Properties
Space-group type: Imma
Mass density: 6.2 g cm⁻³
Formation energy without anion corrections: -763 meV/atom
Crystal system: orthorhombic

a b c (Å): 8.8589 8.5698 8.5698
angles (deg): 63.92 58.88 58.88
Element x y z (fractional)
Ce: 0.0000 0.5000 0.0000
Ce: 0.5000 0.5000 0.0000
Tl: 0.1186 0.1314 0.6314
Tl: 0.5000 0.0000 0.0000
Tl: 0.5000 0.5000 0.5000
Tl: 0.8814 0.8686 0.3686
Se: 0.2332 0.3155 0.2181
Se: 0.2332 0.7181 0.8155
Se: 0.2942 0.2484 0.7484
Se: 0.7090 0.2484 0.7484
Se: 0.2910 0.7516 0.2516
Se: 0.7668 0.2819 0.1845
Se: 0.7058 0.7516 0.2516
Se: 0.7668 0.6845 0.7819



CeTl5Se5: optimized geometry, PBE.

Properties
Space-group type: C2/m
Mass density: 6.9 g cm⁻³
Formation energy without anion corrections: -664 meV/atom
Crystal system: monoclinic

a b c (Å): 6.0680 7.8431 9.1159
angles (deg): 107.98 90.00 112.76
Element x y z (fractional)
Ce: 0.0000 0.0000 0.0000
Tl: 0.6851 0.3701 0.3148
Tl: 0.6742 0.3483 0.8421
Tl: 0.0000 0.0000 0.5000
Tl: 0.3258 0.6517 0.1579
Tl: 0.3149 0.6299 0.6852
Se: 0.8491 0.6981 0.1470
Se: 0.8530 0.7061 0.6989
Se: 0.5000 0.0000 0.0000
Se: 0.1470 0.2939 0.3011
Se: 0.1509 0.3019 0.8530



Ce3TlSe4: optimized geometry, PBE.

Properties
Space-group type: Pm-3m
Mass density: 7.0 g cm⁻³
Formation energy without anion corrections: -1470 meV/atom
Crystal system: cubic

a b c (Å): 6.0595 6.0595 6.0595
angles (deg): 90.00 90.00 90.00
Element x y z (fractional)
Tl: 0.0000 0.0000 0.0000
Se: 0.5000 0.0000 0.0000
Se: 0.0000 0.5000 0.0000
Se: 0.0000 0.0000 0.5000
Se: 0.5000 0.5000 0.5000
Ce: 0.0000 0.5000 0.5000
Ce: 0.5000 0.0000 0.5000
Ce: 0.5000 0.5000 0.0000



CeTlSe3: optimized geometry, PBE.

Properties
Space-group type: P-1
Mass density: 6.2 g cm⁻³
Energy above the lowest structure with this stoichiometry: 0.000 eV per formula unit
Formation energy without anion corrections: -1106 meV/atom
Crystal system: triclinic

a b c (Å): 4.0580 10.0086 9.0455
angles (deg): 57.37 90.10 92.45
Element x y z (fractional)
Ce: 0.9642 0.2547 0.6389
Ce: 0.5205 0.6496 0.1433
Tl: 0.5118 0.6834 0.6408
Tl: 0.9727 0.2210 0.1413
Se: 0.4792 0.3231 0.8148
Se: 0.0055 0.5812 0.9674
Se: 0.4804 0.3021 0.3788
Se: 0.3741 0.9862 0.7551
Se: 0.1106 0.9181 0.0271
Se: 0.0043 0.6022 0.4034



CeTm3Tl4Se8: optimized geometry, PBE.

Properties
Space-group type: R-3m
Mass density: 7.4 g cm⁻³
Formation energy without anion corrections: -1354 meV/atom
Crystal system: trigonal

a b c (Å): 8.3831 9.1557 8.3837
angles (deg): 117.25 120.00 90.00
Element x y z (fractional)
Ce: 0.0000 0.5000 0.0000
Tm: 0.5000 0.5000 0.0000
Tm: 0.5000 0.5000 0.5000
Tm: 0.0000 0.5000 0.5000
Tl: 0.5000 0.0000 0.0000
Tl: 0.5000 0.0000 0.5000
Tl: 0.0000 0.0000 0.0000
Tl: 0.0000 0.0000 0.5000
Se: 0.2399 0.7040 0.9642
Se: 0.2399 0.7040 0.4798
Se: 0.2666 0.3000 0.5333
Se: 0.7243 0.7040 0.9642
Se: 0.2757 0.2960 0.0358
Se: 0.7334 0.7000 0.4667
Se: 0.7601 0.2960 0.5202
Se: 0.7601 0.2960 0.0358



Ce3TmTl3Se8: optimized geometry, PBE.

Properties
Space-group type: C2/m
Mass density: 6.2 g cm⁻³
Formation energy without anion corrections: -1444 meV/atom
Crystal system: monoclinic

a b c (Å): 8.5213 8.5216 9.1945
angles (deg): 117.60 90.00 120.00
Element x y z (fractional)
Ce: 0.5000 0.0000 0.5000
Ce: 0.5000 0.5000 0.5000
Ce: 0.0000 0.5000 0.5000
Tm: 0.0000 0.0000 0.5000
Tl: 0.0000 0.0000 0.0000
Tl: 0.0000 0.5000 0.0000
Tl: 0.5000 0.5000 0.0000
Se: 0.2628 0.5257 0.2909
Se: 0.7372 0.4743 0.7091
Se: 0.7699 0.5399 0.2991
Se: 0.2301 0.4601 0.7009
Se: 0.7708 0.0290 0.2989
Se: 0.2292 0.9710 0.7011
Se: 0.2582 0.0290 0.2989
Se: 0.7418 0.9710 0.7011



CeTm2Tl3Se6: optimized geometry, PBE.

Properties
Space-group type: C2/m
Mass density: 7.3 g cm⁻³
Formation energy without anion corrections: -1348 meV/atom
Crystal system: monoclinic

a b c (Å): 7.2853 7.2853 8.1430
angles (deg): 98.57 98.57 119.97
Element x y z (fractional)
Ce: 0.0000 0.0000 0.0000
Tm: 0.3333 0.6667 0.0000
Tm: 0.6667 0.3333 0.0000
Tl: 0.1651 0.8349 0.5000
Tl: 0.8349 0.1651 0.5000
Tl: 0.5000 0.5000 0.5000
Se: 0.9319 0.5866 0.7956
Se: 0.7224 0.7224 0.2022
Se: 0.0681 0.4134 0.2044
Se: 0.5866 0.9319 0.7956
Se: 0.2776 0.2776 0.7978
Se: 0.4134 0.0681 0.2044